# Ce2YHoSe5

A relaxed Ce2YHoSe5 crystal (GGA-PBE, Alexandria via LeMat-Bulk).

Calculated values
size of the total moment = 3.4 μB per formula unit
ΔE_f (raw) = -1.311 eV/atom
total DFT energy (no corrections) = -5.79 eV/atom
density of states at the Fermi level = 19.36 states/eV per cell

Cell: 5.1290 5.1290 10.7488 Å, 90.00 90.00 90.00°
Positions (direct):
Ce: 0.0000 0.0000 0.1972
Ce: 0.0000 0.0000 0.8028
Y: 0.5000 0.5000 0.5000
Ho: 0.5000 0.5000 0.0000
Se: 0.0000 0.0000 0.5000
Se: 0.0000 0.5000 0.0000
Se: 0.5000 0.0000 0.0000
Se: 0.5000 0.5000 0.2552
Se: 0.5000 0.5000 0.7448

# Ce2YHoSe4

A relaxed Ce2YHoSe4 crystal (GGA-PBE, Alexandria via LeMat-Bulk).

Calculated values
size of the total moment = 2.1 μB per formula unit
ΔE_f (raw) = -1.796 eV/atom
total DFT energy (no corrections) = -6.40 eV/atom
density of states at the Fermi level = 12.67 states/eV per cell

Cell: 7.1166 4.0962 7.2712 Å, 90.00 108.93 90.00°
Positions (direct):
Ce: 0.0000 0.0000 0.0000
Ce: 0.5000 0.5000 0.0000
Y: 0.0000 0.5000 0.5000
Ho: 0.5000 0.0000 0.5000
Se: 0.2473 0.0000 0.7379
Se: 0.2558 0.5000 0.2631
Se: 0.7442 0.5000 0.7369
Se: 0.7527 0.0000 0.2621

# CeHoSi4

A relaxed CeHoSi4 crystal (GGA-PBE, Alexandria via LeMat-Bulk).

Calculated values
size of the total moment = 0.0 μB per formula unit
ΔE_f (raw) = -0.600 eV/atom
total DFT energy (no corrections) = -5.97 eV/atom
density of states at the Fermi level = 5.25 states/eV per cell

Cell: 7.7232 7.7232 7.7232 Å, 149.87 149.87 43.14°
Positions (direct):
Ce: 0.0000 0.0000 0.0000
Ho: 0.2500 0.7500 0.5000
Si: 0.4161 0.4161 0.0000
Si: 0.5839 0.5839 0.0000
Si: 0.6684 0.1684 0.5000
Si: 0.8316 0.3316 0.5000

# CeHo2Si4

A relaxed CeHo2Si4 crystal (GGA-PBE, Alexandria via LeMat-Bulk).

Calculated values
size of the total moment = 0.4 μB per formula unit
ΔE_f (raw) = -0.767 eV/atom
total DFT energy (no corrections) = -6.02 eV/atom
density of states at the Fermi level = 5.05 states/eV per cell

Cell: 9.1918 9.1918 9.1918 Å, 155.54 153.23 36.57°
Positions (direct):
Ce: 0.0000 0.0000 0.0000
Ho: 0.1831 0.6831 0.5000
Ho: 0.8169 0.3169 0.5000
Si: 0.3509 0.8509 0.5000
Si: 0.4336 0.4336 0.0000
Si: 0.5664 0.5664 0.0000
Si: 0.6491 0.1491 0.5000

# CeHoSi

A relaxed CeHoSi crystal (GGA-PBE, Alexandria via LeMat-Bulk).

Calculated values
size of the total moment = 1.1 μB per formula unit
E above lowest polymorph = 1.07 eV per formula unit
ΔE_f (raw) = -0.230 eV/atom
total DFT energy (no corrections) = -5.54 eV/atom
density of states at the Fermi level = 7.14 states/eV per cell

Cell: 4.6816 4.6816 4.0609 Å, 90.00 90.00 120.00°
Positions (direct):
Ce: 0.0000 0.0000 0.0000
Ho: 0.6667 0.3333 0.5413
Si: 0.3333 0.6667 0.3606

# CeHo4Si4

A relaxed CeHo4Si4 crystal (GGA-PBE, Alexandria via LeMat-Bulk).

Calculated values
size of the total moment = 1.3 μB per formula unit
ΔE_f (raw) = -0.438 eV/atom
total DFT energy (no corrections) = -5.54 eV/atom
density of states at the Fermi level = 28.75 states/eV per cell

Cell: 9.1805 9.1805 5.6968 Å, 90.00 90.00 90.00°
Positions (direct):
Ce: 0.2500 0.2500 0.2500
Ce: 0.7500 0.7500 0.7500
Ho: 0.0971 0.6435 0.1279
Ho: 0.1435 0.9029 0.6279
Ho: 0.3565 0.5971 0.6279
Ho: 0.4029 0.8565 0.1279
Ho: 0.5971 0.1435 0.8721
Ho: 0.6435 0.4029 0.3721
Ho: 0.8565 0.0971 0.3721
Ho: 0.9029 0.3565 0.8721
Si: 0.0403 0.5981 0.6320
Si: 0.0981 0.9597 0.1320
Si: 0.4019 0.5403 0.1320
Si: 0.4597 0.9019 0.6320
Si: 0.5403 0.0981 0.3680
Si: 0.5981 0.4597 0.8680
Si: 0.9019 0.0403 0.8680
Si: 0.9597 0.4019 0.3680

Which value of total DFT energy (no corrections) does entry 1 give?
-5.79 eV/atom